Density functional theory data (meta-GGA SCAN) for LiLa2Ag at its PBEsol-relaxed geometry.

```
LiLa2Ag
1.0
-2.081 1.856 2.692
-3.249 -0.816 -1.949
-0.693 -6.239 3.766
Li Ag La
1 1 2
Cartesian
-2.665 0.520 0.371
-3.011 -2.599 2.254
-0.503 -4.535 2.737
-0.189 -1.704 1.028
```

Properties
As for the space group: P4/mmm, No. 123. As for the density of states at the Fermi level: 4.10 states/eV/cell. For the total energy, the calculation gives -30.106 eV/atom. The calculation puts the volume at 27.5 A^3/atom. Its calculated formation energy is -0.11 eV/atom. The excess energy over the best structure of this formula in the dataset comes out at 0.00 eV per formula unit.



Density functional theory data (meta-GGA SCAN) for Al2MoRu at its PBEsol-relaxed geometry.

```
Al2MoRu
1.0
-2.655 1.335 0.110
-0.237 -0.819 4.204
3.448 3.651 -1.283
Ru Mo Al
1 1 2
Cartesian
0.884 1.550 2.540
-1.407 0.334 2.174
0.491 4.043 3.003
-0.304 2.666 0.502
```

Properties
As for the space group: Imm2, No. 44. As for the density of states at the Fermi level: 2.19 states/eV/cell. For the total energy, the calculation gives -21.691 eV/atom. The calculation puts the volume at 14.3 A^3/atom. Its calculated formation energy is -0.39 eV/atom. The excess energy over the best structure of this formula in the dataset comes out at 0.00 eV per formula unit.



Density functional theory data (meta-GGA SCAN) for SiIrBr2 at its PBEsol-relaxed geometry.

```
SiIrBr2
1.0
-2.112 -4.161 -0.395
2.428 -3.937 0.730
-0.819 -2.582 3.820
Br Ir Si
2 1 1
Cartesian
-0.126 -2.670 1.039
-0.377 -8.010 3.116
0.000 0.000 0.000
-0.251 -5.340 2.077
```

Properties
As for the space group: Fm-3m, No. 225. As for the density of states at the Fermi level: 2.12 states/eV/cell. For the total energy, the calculation gives -28.722 eV/atom. As for the formation energy from raw total energies: 29.67 kcal/mol of atoms. The calculation puts the volume at 18.2 A^3/atom.



Density functional theory data (meta-GGA SCAN) for CoHgPb2 at its PBEsol-relaxed geometry.

```
CoHgPb2
1.0
3.483 0.000 0.000
-1.742 3.045 -0.074
0.000 -1.772 8.492
Co Hg Pb
1 1 2
Cartesian
0.000 -0.886 4.246
1.742 0.000 0.000
1.742 0.181 5.919
0.000 1.092 2.499
```

Properties
As for the space group: C2/m, No. 12. As for the density of states at the Fermi level: 1.80 states/eV/cell. For the total energy, the calculation gives -58.937 eV/atom. The calculation puts the volume at 22.4 A^3/atom. Its calculated formation energy is 0.32 eV/atom.



Density functional theory data (meta-GGA SCAN) for Al2TlPt2 at its PBEsol-relaxed geometry.

```
Al2TlPt2
1.0
-3.767 0.926 -0.185
-0.932 -3.524 1.338
2.578 3.341 4.961
Tl Al Pt
1 2 2
Cartesian
0.000 0.000 0.000
-0.351 -0.741 3.438
-1.769 1.484 2.676
0.175 1.558 4.225
-2.295 -0.816 1.888
```

Properties
As for the space group: I4/mmm, No. 139. As for the density of states at the Fermi level: 2.09 states/eV/cell. For the total energy, the calculation gives -46.395 eV/atom. The calculation puts the volume at 17.8 A^3/atom. Its calculated formation energy is -0.75 eV/atom. The excess energy over the best structure of this formula in the dataset comes out at 0.00 eV per formula unit.



Density functional theory data (meta-GGA SCAN) for TaMnRe2 at its PBEsol-relaxed geometry.

```
TaMnRe2
1.0
3.114 0.000 0.000
0.000 4.284 0.000
0.000 0.000 4.365
Mn Re Ta
1 2 1
Cartesian
0.000 2.142 2.183
0.000 0.000 0.000
1.557 2.142 0.000
1.557 0.000 2.183
```

Properties
As for the space group: Pmmm, No. 47. As for the density of states at the Fermi level: 2.35 states/eV/cell. For the total energy, the calculation gives -56.937 eV/atom. The calculation puts the volume at 14.6 A^3/atom. Its calculated formation energy is -0.18 eV/atom.



Q: Which formula does entry 1 have?
A: LiLa2Ag